Tm6ZnIn5: optimized geometry, GGA-PBE.

Cell: 5.234 7.313 8.273 Å, 90.00 108.30 90.00°
Atoms (fractional coordinates):
Tm 0.000 0.243 0.000
Tm 0.000 0.757 0.000
Tm 0.338 0.245 0.675
Tm 0.338 0.755 0.675
Tm 0.662 0.245 0.325
Tm 0.662 0.755 0.325
Zn 0.500 0.000 0.000
In 0.166 0.000 0.333
In 0.168 0.500 0.337
In 0.500 0.500 0.000
In 0.832 0.500 0.663
In 0.834 0.000 0.667

Computed properties:
Fermi-level density of states, states/eV/f.u.: 6.6
Energy, eV/atom: -3.896
Crystal system: monoclinic